Cr3GaHg: relaxed, PBE.

Cell lengths 4.744, 4.744, 4.744 Å; angles 90.00, 90.00, 90.00 degrees
Fractional positions:
1 Cr 0.000 0.500 0.000
2 Cr 0.000 0.000 0.500
3 Cr 0.500 0.000 0.000
4 Hg 0.500 0.500 0.500
5 Ga 0.000 0.000 0.000

Properties
Space group   Pm-3m, No. 221
Distance to the lowest polymorph of the same formula   0 meV/atom
Calculated density   6628 kg/m³
VASP energy   -26.9 eV for the cell shown
Energy of formation from the pure elements   1064 meV/atom